Compound: CrPIO2
Source: Alexandria
Functional: PBE with a Hubbard U
Structure: optimized geometry

abc: 3.9737 3.9737 5.5060
angles: 90.00 90.00 90.00
Last column: nearest neighbours and their distance in Å.
Sites, in units of the cell vectors:
Cr  0.0000  0.0000  0.0000  4 P 2.81
P  0.5000  0.5000  0.0000  2 I 2.75, 4 Cr 2.81
I  0.5000  0.5000  0.5000  4 O 1.99
O  0.0000  0.5000  0.5000  2 I 1.99
O  0.5000  0.0000  0.5000  2 I 1.99

The value obtained for the energy above the lowest structure with this stoichiometry is 517 meV per atom. The calculation puts the total energy at -4.676 eV per atom.